[1]
Computed, not measured: a relaxed structure of TbHoMnAu at the PBE level of DFT.

POSCAR file:
```
TbHoMnAu
1.0
-4.970 -0.144 0.939
-2.072 -4.147 2.028
-1.676 0.085 4.773
Mn Au Tb Ho
1 1 1 1
direct
0.250 0.250 0.250 Mn
0.750 0.750 0.750 Au
0.500 0.500 0.500 Tb
0.000 0.000 0.000 Ho
```

Calculated values
As for the calculated formation energy: -256 meV/atom. The crystal system is cubic.

[2]
Computed, not measured: a relaxed structure of HoTmMnAu at the PBE level of DFT.

POSCAR file:
```
HoTmMnAu
1.0
-3.084 -3.277 -2.217
1.733 -3.039 -3.595
0.497 -4.911 0.892
Ho Tm Mn Au
1 1 1 1
direct
0.500 0.500 0.500 Ho
0.000 0.000 0.000 Tm
0.250 0.250 0.250 Mn
0.750 0.750 0.750 Au
```

Calculated values
As for the calculated formation energy: -275 meV/atom. The crystal system is cubic.

[3]
Computed, not measured: a relaxed structure of Ho12Au3N5 at the PBE level of DFT.

POSCAR file:
```
Ho12Au3N5
1.0
13.257 0.000 0.000
-4.419 12.499 0.000
-4.419 -6.249 10.824
Ho Au N
48 12 20
direct
0.413 0.115 0.597 Ho
0.885 0.298 0.482 Ho
0.798 0.482 0.385 Ho
0.482 0.798 0.885 Ho
0.684 0.202 0.587 Ho
0.184 0.097 0.982 Ho
0.202 0.684 0.087 Ho
0.816 0.913 0.298 Ho
0.816 0.903 0.018 Ho
0.518 0.316 0.903 Ho
0.087 0.903 0.385 Ho
0.982 0.597 0.184 Ho
0.298 0.885 0.982 Ho
0.885 0.587 0.903 Ho
0.316 0.798 0.413 Ho
0.482 0.684 0.097 Ho
0.903 0.816 0.518 Ho
0.615 0.597 0.913 Ho
0.913 0.816 0.798 Ho
0.298 0.413 0.816 Ho
0.115 0.413 0.097 Ho
0.702 0.587 0.184 Ho
0.913 0.097 0.615 Ho
0.385 0.982 0.798 Ho
0.615 0.018 0.202 Ho
0.518 0.202 0.115 Ho
0.587 0.702 0.684 Ho
0.018 0.403 0.816 Ho
0.798 0.316 0.913 Ho
0.597 0.615 0.413 Ho
0.184 0.087 0.702 Ho
0.684 0.482 0.597 Ho
0.982 0.385 0.298 Ho
0.097 0.184 0.482 Ho
0.903 0.087 0.885 Ho
0.403 0.385 0.587 Ho
0.385 0.403 0.087 Ho
0.316 0.518 0.403 Ho
0.018 0.615 0.702 Ho
0.097 0.913 0.115 Ho
0.403 0.018 0.316 Ho
0.413 0.298 0.316 Ho
0.115 0.702 0.518 Ho
0.597 0.982 0.684 Ho
0.202 0.518 0.615 Ho
0.087 0.184 0.202 Ho
0.702 0.115 0.018 Ho
0.587 0.885 0.403 Ho
0.625 0.375 0.750 Au
0.875 0.125 0.250 Au
0.125 0.875 0.750 Au
0.750 0.375 0.125 Au
0.125 0.250 0.875 Au
0.750 0.875 0.625 Au
0.250 0.625 0.875 Au
0.250 0.125 0.375 Au
0.375 0.750 0.625 Au
0.625 0.250 0.375 Au
0.375 0.625 0.250 Au
0.875 0.750 0.125 Au
0.000 0.500 0.500 N
0.125 0.750 0.375 N
0.375 0.125 0.750 N
0.500 0.500 0.000 N
0.000 0.000 0.000 N
0.000 0.500 0.000 N
0.500 0.000 0.500 N
0.000 0.000 0.500 N
0.750 0.625 0.375 N
0.500 0.000 0.000 N
0.125 0.375 0.250 N
0.875 0.250 0.625 N
0.250 0.375 0.625 N
0.875 0.625 0.750 N
0.625 0.875 0.250 N
0.500 0.500 0.500 N
0.750 0.125 0.875 N
0.250 0.875 0.125 N
0.375 0.250 0.125 N
0.625 0.750 0.875 N
```

Calculated values
The crystal system is cubic. For the formation energy from raw total energies, the calculation gives -977 meV/atom.

[4]
Computed, not measured: a relaxed structure of HoAuN at the PBE level of DFT.

POSCAR file:
```
HoAuN
1.0
-2.062 1.518 2.053
1.663 -1.936 5.724
3.564 4.014 3.234
Au Ho N
2 2 2
direct
0.818 0.182 0.182 Au
0.182 0.818 0.818 Au
0.500 0.728 0.272 Ho
0.500 0.272 0.728 Ho
0.923 0.577 0.577 N
0.077 0.423 0.423 N
```

Calculated values
The crystal system is orthorhombic. For the formation energy from raw total energies, the calculation gives -482 meV/atom.